The following is a PBE calculation of a relaxed structure of Sm2Ho2CI2Cl3, from OQMD.

Summary:
- Energy above the most stable polymorph in this dataset: 19 meV per atom
- Size of the total moment: 0.11 μB per cell
- Total energy: -5.08 eV per atom
- Mass density: 5.99 Mg/m³

Cell and atoms, written as CIF:
```
data_Sm2Ho2CI2Cl3
_chemical_formula_sum 'Sm4 Ho4 C2 I4 Cl6'
_cell_length_a 17.920
_cell_length_b 3.877
_cell_length_c 8.123
_cell_angle_alpha 90.00
_cell_angle_beta 100.17
_cell_angle_gamma 90.00
_symmetry_space_group_name_H-M 'C 1 2/m 1'
_symmetry_Int_Tables_number 12
loop_
_symmetry_equiv_pos_as_xyz
'x,y,z'
'-x,-y,-z'
'-x,y,-z'
'x,-y,z'
'x+1/2,y+1/2,z'
'-x+1/2,-y+1/2,-z'
'-x+1/2,y+1/2,-z'
'x+1/2,-y+1/2,z'
loop_
_atom_site_label
_atom_site_type_symbol
_atom_site_fract_x
_atom_site_fract_y
_atom_site_fract_z
_atom_site_occupancy
Sm1 Sm 0.006 0.000 0.291 1
Ho1 Ho 0.135 0.500 0.563 1
C1 C 0.000 0.500 0.500 1
I1 I 0.169 0.000 0.851 1
Cl1 Cl 0.000 0.500 0.000 1
Cl2 Cl 0.171 0.000 0.353 1
```